Computed, not measured: a geometry-optimized ThCoSbO6 structure at the PBE with a Hubbard U level of DFT.

Cell: 4.9234 4.9234 9.8520 Å, 90.00 90.00 90.00°
Space group P4_2nm (No. 102)
One atom of each set of equivalent atoms:
Th1 0.0000 0.0000 0.0000 x2
Co1 0.0000 0.0000 0.3322 x2
Sb1 0.0000 0.0000 0.6634 x2
O1 0.1750 0.1750 0.4989 x4
O2 0.2107 0.2107 0.8110 x4
O3 0.2133 0.2133 0.1753 x4

Calculated values
Electronic total energy   -7.102 eV/atom

Computed, not measured: a geometry-optimized TiCo2SbO6 structure at the PBE with a Hubbard U level of DFT.

Cell: 5.1563 5.1563 14.4969 Å, 90.00 90.00 120.00°
Space group R3 (No. 146, hexagonal axes)
One atom of each set of equivalent atoms:
Ti1 0.0000 0.0000 0.0000 x3
Co1 0.0000 0.0000 0.2095 x3
Co2 0.0000 0.0000 0.6912 x3
Sb1 0.0000 0.0000 0.4829 x3
O1 0.0054 0.6906 0.6118 x9
O2 0.0606 0.3460 0.7622 x9

Calculated values
Electronic total energy   -6.771 eV/atom

Computed, not measured: a geometry-optimized TiCoSbO6 structure at the PBE with a Hubbard U level of DFT.

Cell: 5.1464 5.1464 8.7976 Å, 90.00 90.00 120.00°
Space group P-31c (No. 163)
One atom of each set of equivalent atoms:
Ti1 0.3333 0.6667 0.2500 x2
Co1 0.0000 0.0000 0.0000 x2
Sb1 0.3333 0.6667 0.7500 x2
O1 0.0057 0.3453 0.1291 x12

Calculated values
Electronic total energy   -6.855 eV/atom
DOS at the Fermi energy   7.95 states/eV per cell

Computed, not measured: a geometry-optimized Tl2CoSbO6 structure at the PBE with a Hubbard U level of DFT.

Cell: 5.6349 5.6349 14.4003 Å, 90.00 90.00 120.00°
Space group R3 (No. 146, hexagonal axes)
One atom of each set of equivalent atoms:
Tl1 0.0000 0.0000 0.0000 x3
Tl2 0.0000 0.0000 0.4879 x3
Co1 0.0000 0.0000 0.2259 x3
Sb1 0.0000 0.0000 0.7177 x3
O1 0.0673 0.7096 0.2958 x9
O2 0.0750 0.3370 0.7905 x9

Calculated values
Electronic total energy   -5.315 eV/atom
DOS at the Fermi energy   4.99 states/eV per cell

Computed, not measured: a geometry-optimized TlCo2SbO6 structure at the PBE with a Hubbard U level of DFT.

Cell: 5.4082 5.4082 14.3900 Å, 90.00 90.00 120.00°
Space group R3 (No. 146, hexagonal axes)
One atom of each set of equivalent atoms:
Tl1 0.0000 0.0000 0.0000 x3
Co1 0.0000 0.0000 0.2723 x3
Co2 0.0000 0.0000 0.7844 x3
Sb1 0.0000 0.0000 0.4830 x3
O1 0.0178 0.3414 0.5458 x9
O2 0.0281 0.7303 0.3878 x9

Calculated values
Electronic total energy   -5.727 eV/atom
DOS at the Fermi energy   8.17 states/eV per cell

Computed, not measured: a geometry-optimized UCoSbO6 structure at the PBE with a Hubbard U level of DFT.

Cell: 5.4615 5.4615 8.9983 Å, 90.00 90.00 120.00°
Space group P-31c (No. 163)
One atom of each set of equivalent atoms:
U1 0.3333 0.6667 0.2500 x2
Co1 0.0000 0.0000 0.0000 x2
Sb1 0.3333 0.6667 0.7500 x2
O1 0.0206 0.3515 0.6294 x12

Calculated values
Electronic total energy   -7.467 eV/atom
DOS at the Fermi energy   2.34 states/eV per cell

Computed, not measured: a geometry-optimized UCoSb2O8 structure at the PBE with a Hubbard U level of DFT.

Cell: 6.9601 7.0440 6.5313 Å, 90.00 90.00 90.00°
Space group Cmmm (No. 65)
One atom of each set of equivalent atoms:
U1 0.0000 0.0000 0.0000 x2
Co1 0.0000 0.0000 0.5000 x2
Sb1 0.0000 0.5000 0.2602 x4
O1 0.0000 0.3078 0.5000 x4
O2 0.0000 0.3157 0.0000 x4
O3 0.1976 0.0000 0.2430 x8

Calculated values
Electronic total energy   -7.181 eV/atom
DOS at the Fermi energy   10.71 states/eV per cell

Computed, not measured: a geometry-optimized VCo2SbO6 structure at the PBE with a Hubbard U level of DFT.

Cell: 5.2380 5.2380 13.9835 Å, 90.00 90.00 120.00°
Space group R3 (No. 146, hexagonal axes)
One atom of each set of equivalent atoms:
V1 0.0000 0.0000 0.0000 x3
Co1 0.0000 0.0000 0.2107 x3
Co2 0.0000 0.0000 0.7114 x3
Sb1 0.0000 0.0000 0.5018 x3
O1 0.0175 0.3725 0.7647 x9
O2 0.0179 0.7087 0.5956 x9

Calculated values
Electronic total energy   -6.596 eV/atom
DOS at the Fermi energy   0.00 states/eV per cell